[1]
Density functional theory data (PBE) for a relaxed LiAuSe2 crystal.

Calculated values
Formation energy from raw total energies in meV per atom: -180
V in Å³/f.u.: 76
Space-group type: Pmmm (47)

Cell: 4.0103 4.9520 3.8519 Å, 90.00 90.00 90.00°
With the nearest neighbours (Å) after each atom.
Positions (direct):
1 Au 0.5000 0.0000 0.5000  4 Se 2.78
2 Li 0.0000 0.5000 0.5000  4 Se 2.78
3 Se 0.0000 0.0000 0.0000  4 Au 2.78
4 Se 0.5000 0.5000 0.0000  4 Li 2.78

***

[2]
Density functional theory data (PBE) for a relaxed SrMnAg crystal.

Calculated values
V in Å³/f.u.: 98
DFT formation energy in eV/atom: 0.8523
Space-group type: F-43m (216)

Cell: 5.1749 5.1749 5.1749 Å, 60.00 60.00 60.00°
With the nearest neighbours (Å) after each atom.
Positions (direct):
1 Ag 0.0000 0.0000 0.0000  4 Sr 3.17
2 Mn 0.5000 0.5000 0.5000  4 Sr 3.17
3 Sr 0.7500 0.7500 0.7500  4 Mn 3.17, 4 Ag 3.17

***

[3]
Density functional theory data (PBE) for a relaxed FeMoW crystal.

Calculated values
V in Å³/f.u.: 51
DFT formation energy in eV/atom: 0.8111
E above lowest polymorph in eV per atom: 0.737
Space-group type: C2/m (12)

Cell: 4.0239 4.0306 7.5312 Å, 89.96 75.29 59.95°
With the nearest neighbours (Å) after each atom.
Positions (direct):
1 Fe 0.5598 0.9908 0.7055  4 W 2.42-2.63, 1 Mo 2.55, 3 Fe 2.61-2.67
2 Fe 0.7714 0.3853 0.8761  4 W 2.42-2.63, 1 Mo 2.55, 3 Fe 2.61-2.67
3 Mo 0.7939 0.8738 0.3521  3 Mo 2.48-2.49, 1 Fe 2.55, 3 W 2.69
4 Mo 0.5372 0.5023 0.2295  3 Mo 2.48-2.49, 1 Fe 2.55, 3 W 2.69
5 W 0.0075 0.2668 0.5396  4 Fe 2.42-2.63, 3 Mo 2.69
6 W 0.3237 0.1093 0.0419  4 Fe 2.42-2.63, 3 Mo 2.69

***

[4]
Density functional theory data (PBE) for a relaxed DyThPdAu crystal.

Calculated values
V in Å³/f.u.: 95
DFT formation energy in eV/atom: -0.7094
E above lowest polymorph in eV per atom: 0.106
Space-group type: F-43m (216)

Cell: 5.1290 5.1290 5.1290 Å, 60.00 60.00 60.00°
With the nearest neighbours (Å) after each atom.
Positions (direct):
1 Au 0.0000 0.0000 0.0000  4 Th 3.14, 4 Dy 3.14
2 Pd 0.5000 0.5000 0.5000  4 Dy 3.14, 4 Th 3.14
3 Th 0.7500 0.7500 0.7500  4 Pd 3.14, 4 Au 3.14
4 Dy 0.2500 0.2500 0.2500  4 Au 3.14, 4 Pd 3.14

***

[5]
Density functional theory data (PBE) for a relaxed Mg7In3Hg2 crystal.

Calculated values
V in Å³/f.u.: 297
DFT formation energy in eV/atom: 0.0027
Space-group type: Cmmm (65)

Cell: 4.1189 4.5877 15.8590 Å, 98.32 90.00 90.00°
With the nearest neighbours (Å) after each atom.
Positions (direct):
1 Mg 0.0000 0.4223 0.8445  2 Hg 2.92, 4 Mg 3.09, 2 In 3.19
2 Mg 0.0000 0.7782 0.5564  1 Hg 2.72, 2 Mg 2.90
3 Mg 0.0000 0.0000 0.0000  8 Mg 3.07-3.35, 4 In 3.08
4 Mg 0.0000 0.5777 0.1555  2 Hg 2.92, 4 Mg 3.09, 2 In 3.19
5 Mg 0.5000 0.0726 0.1451  2 Hg 2.84, 6 Mg 3.07-3.09
6 Mg 0.5000 0.9274 0.8549  2 Hg 2.84, 6 Mg 3.07-3.09
7 Mg 0.0000 0.2218 0.4436  1 Hg 2.72, 2 Mg 2.90
8 In 0.5000 0.5000 0.0000  12 Mg 3.08-3.23
9 In 0.5000 0.6840 0.3681  6 Mg 3.30-3.60, 4 Hg 3.44
10 In 0.5000 0.3160 0.6319  6 Mg 3.30-3.60, 4 Hg 3.44
11 Hg 0.0000 0.8649 0.7298  5 Mg 2.72-2.92
12 Hg 0.0000 0.1351 0.2702  5 Mg 2.72-2.92

***

[6]
Density functional theory data (PBE) for a relaxed Pm6AlZn crystal.

Calculated values
V in Å³/f.u.: 239
DFT formation energy in eV/atom: -0.1531
Space-group type: I4/mmm (139)

Cell: 5.1935 5.1934 9.5824 Å, 74.28 74.28 90.01°
With the nearest neighbours (Å) after each atom.
Positions (direct):
1 Pm 0.7478 0.7478 0.5038  12 Pm 3.64-3.69
2 Pm 0.6035 0.1039 0.7922  2 Zn 3.18, 2 Al 3.18
3 Pm 0.1039 0.6035 0.7922  2 Zn 3.18, 2 Al 3.18
4 Pm 0.3965 0.8961 0.2078  2 Zn 3.18, 2 Al 3.18
5 Pm 0.2522 0.2522 0.4962  12 Pm 3.64-3.69
6 Pm 0.8961 0.3965 0.2078  2 Zn 3.18, 2 Al 3.18
7 Al 0.5000 0.5000 0.0000  8 Pm 3.18
8 Zn 0.0000 0.0000 0.0000  8 Pm 3.18

***

[7]
Density functional theory data (PBE) for a relaxed MnNbIn3 crystal.

Calculated values
V in Å³/f.u.: 115
DFT formation energy in eV/atom: 1.0134
E above lowest polymorph in eV per atom: 0.000
Space-group type: Pm-3m (221)

Cell: 4.8602 4.8602 4.8602 Å, 90.00 90.00 90.00°
With the nearest neighbours (Å) after each atom.
Positions (direct):
1 Nb 0.5000 0.5000 0.5000  12 In 3.44
2 Mn 0.0000 0.0000 0.0000  6 In 2.43
3 In 0.0000 0.5000 0.0000  2 Mn 2.43
4 In 0.0000 0.0000 0.5000  2 Mn 2.43
5 In 0.5000 0.0000 0.0000  2 Mn 2.43

***

[8]
Density functional theory data (PBE) for a relaxed LaSmHo2Er5 crystal.

Calculated values
V in Å³/f.u.: 293
DFT formation energy in eV/atom: 0.2804
Space-group type: I4/mcm (140)

Cell: 8.9037 8.9037 9.7038 Å, 117.31 117.31 90.00°
With the nearest neighbours (Å) after each atom.
Positions (direct):
1 La 0.2500 0.2500 0.5000  10 Er 3.66-3.69
2 La 0.7500 0.7500 0.5000  10 Er 3.66-3.69
3 Sm 0.2500 0.7500 0.5000  4 Er 3.12
4 Sm 0.7500 0.2500 0.5000  4 Er 3.12
5 Ho 0.1133 0.3867 0.0000  1 Ho 2.85, 2 Er 3.00
6 Ho 0.6133 0.1133 0.0000  1 Ho 2.85, 2 Er 3.00
7 Ho 0.3867 0.8867 0.0000  1 Ho 2.85, 2 Er 3.00
8 Ho 0.8867 0.6133 0.0000  1 Ho 2.85, 2 Er 3.00
9 Er 0.9263 0.4263 0.2598  1 Ho 3.00, 1 Sm 3.12
10 Er 0.6665 0.1665 0.7402  1 Ho 3.00, 1 Sm 3.12
11 Er 0.0737 0.5737 0.7402  1 Ho 3.00, 1 Sm 3.12
12 Er 0.1665 0.0737 0.7402  1 Ho 3.00, 1 Sm 3.12
13 Er 0.5737 0.6665 0.7402  1 Ho 3.00, 1 Sm 3.12
14 Er 0.8335 0.9263 0.2598  1 Ho 3.00, 1 Sm 3.12
15 Er 0.4263 0.3335 0.2598  1 Ho 3.00, 1 Sm 3.12
16 Er 0.3335 0.8335 0.2598  1 Ho 3.00, 1 Sm 3.12
17 Er 0.5000 0.5000 0.0000  4 Ho 3.59, 2 La 3.69, 8 Er 3.73
18 Er 0.0000 0.0000 0.0000  4 Ho 3.59, 2 La 3.69, 8 Er 3.73

***

[9]
Density functional theory data (PBE) for a relaxed SiBiOF2 crystal.

Calculated values
Formation energy from raw total energies in meV per atom: -1206
V in Å³/f.u.: 76
E above lowest polymorph in eV per atom: 0.000
Space-group type: P4/mmm (123)

Cell: 4.7191 4.7191 3.4094 Å, 90.00 90.00 90.00°
With the nearest neighbours (Å) after each atom.
Positions (direct):
1 Si 0.0000 0.0000 0.0000  2 O 1.70
2 Bi 0.5000 0.5000 0.5000  8 F 2.91
3 O 0.0000 0.0000 0.5000  2 Si 1.70
4 F 0.0000 0.5000 0.0000  2 Si 2.36
5 F 0.5000 0.0000 0.0000  2 Si 2.36

***

[10]
Density functional theory data (PBE) for a relaxed La2MgHg crystal.

Calculated values
V in Å³/f.u.: 124
DFT formation energy in eV/atom: -0.1207
E above lowest polymorph in eV per atom: 0.190
Space-group type: P2/m (10)

Cell: 3.8599 6.0090 6.9073 Å, 50.71 90.00 90.00°
With the nearest neighbours (Å) after each atom.
Positions (direct):
1 Hg 0.0000 0.0000 0.5000  6 La 3.40-3.45, 4 Mg 3.57
2 La 0.0000 0.0000 0.0000  4 Mg 3.40, 2 Hg 3.45, 4 La 3.57
3 La 0.5000 0.5000 0.0000  4 Hg 3.40, 2 Mg 3.45, 4 La 3.57
4 Mg 0.5000 0.5000 0.5000  6 La 3.40-3.45, 4 Hg 3.57

***

[11]
Density functional theory data (PBE) for a relaxed Li5TlHg2Au2 crystal.

Calculated values
V in Å³/f.u.: 193
DFT formation energy in eV/atom: -0.3063
Space-group type: P4/mbm (127)

Cell: 3.2523 10.8808 10.8808 Å, 90.00 90.00 90.00°
With the nearest neighbours (Å) after each atom.
Positions (direct):
1 Li 0.5000 0.2157 0.0199  2 Au 2.61, 2 Tl 2.86, 2 Hg 2.92
2 Li 0.5000 0.7843 0.9801  2 Au 2.61, 2 Tl 2.86, 2 Hg 2.92
3 Li 0.5000 0.0199 0.7843  2 Au 2.61, 2 Tl 2.86, 2 Hg 2.92
4 Li 0.5000 0.7157 0.4801  2 Au 2.61, 2 Tl 2.86, 2 Hg 2.92
5 Li 0.5000 0.9801 0.2157  2 Au 2.61, 2 Tl 2.86, 2 Hg 2.92
6 Li 0.5000 0.2843 0.5199  2 Au 2.61, 2 Tl 2.86, 2 Hg 2.92
7 Li 0.5000 0.5199 0.7157  2 Au 2.61, 2 Tl 2.86, 2 Hg 2.92
8 Li 0.5000 0.4801 0.2843  2 Au 2.61, 2 Tl 2.86, 2 Hg 2.92
9 Li 0.5000 0.5000 0.0000  4 Au 2.69
10 Li 0.5000 0.0000 0.5000  4 Au 2.69
11 Tl 0.0000 0.0000 0.0000  8 Li 2.86
12 Tl 0.0000 0.5000 0.5000  8 Li 2.86
13 Hg 0.0000 0.6724 0.1724  1 Au 2.89, 6 Li 2.92-3.11
14 Hg 0.0000 0.3276 0.8276  1 Au 2.89, 6 Li 2.92-3.11
15 Hg 0.0000 0.1724 0.3276  1 Au 2.89, 6 Li 2.92-3.11
16 Hg 0.0000 0.8276 0.6724  1 Au 2.89, 6 Li 2.92-3.11
17 Au 0.0000 0.1395 0.6395  6 Li 2.61-2.69, 1 Hg 2.89
18 Au 0.0000 0.8605 0.3605  6 Li 2.61-2.69, 1 Hg 2.89
19 Au 0.0000 0.6395 0.8605  6 Li 2.61-2.69, 1 Hg 2.89
20 Au 0.0000 0.3605 0.1395  6 Li 2.61-2.69, 1 Hg 2.89

***

[12]
Density functional theory data (PBE) for a relaxed Sr4Ga3Rh crystal.

Calculated values
V in Å³/f.u.: 242
DFT formation energy in eV/atom: -0.4302
Space-group type: Pmm2 (25)

Cell: 4.7067 4.4097 11.6677 Å, 90.00 90.00 90.00°
With the nearest neighbours (Å) after each atom.
Positions (direct):
1 Sr 0.5000 0.5000 0.3491  6 Ga 3.39, 1 Rh 3.48
2 Sr 0.0000 0.5000 0.8682  2 Rh 3.18, 4 Ga 3.36
3 Sr 0.0000 0.0000 0.1433  3 Ga 3.26-3.44, 4 Rh 3.40
4 Sr 0.5000 0.0000 0.6420  7 Ga 3.35-3.59
5 Rh 0.5000 0.5000 0.0510  2 Ga 2.50
6 Ga 0.0000 0.5000 0.5585  2 Ga 2.62
7 Ga 0.0000 0.0000 0.4379  2 Ga 2.62
8 Ga 0.5000 0.0000 0.9500  2 Rh 2.50

***

[13]
Density functional theory data (PBE) for a relaxed Ac7La3Pr crystal.

Calculated values
V in Å³/f.u.: 480
DFT formation energy in eV/atom: 0.2269
E above lowest polymorph in eV per atom: 0.125
Space-group type: C2/m (12)

Cell: 6.4935 9.1943 9.1943 Å, 85.21 110.62 110.62°
With the nearest neighbours (Å) after each atom.
Positions (direct):
1 Ac 0.2060 0.2062 0.2062  1 Pr 3.49, 2 La 3.57, 2 Ac 3.86
2 Ac 0.3081 0.0141 0.6024  2 La 3.43-3.81, 2 Ac 3.70
3 Ac 0.6919 0.3976 0.9859  2 La 3.43-3.81, 2 Ac 3.70
4 Ac 0.3081 0.6024 0.0141  2 La 3.43-3.81, 2 Ac 3.70
5 Ac 0.0000 0.5000 0.5000  2 Pr 3.25, 2 La 3.62
6 Ac 0.6919 0.9859 0.3976  2 La 3.43-3.81, 2 Ac 3.70
7 Ac 0.7940 0.7938 0.7938  1 Pr 3.49, 2 La 3.57, 2 Ac 3.86
8 La 0.0000 0.7912 0.2088  9 Ac 3.57-3.97
9 La 0.5000 0.0000 0.0000  4 Ac 3.43
10 La 0.0000 0.2088 0.7912  9 Ac 3.57-3.97
11 Pr 0.5000 0.5000 0.5000  4 Ac 3.25-3.49